Here is an optimized crystal structure of SrNdSn from the Alexandria database. Energies are from PBE.

abc: 5.3431 5.3431 4.2258
angles: 90.00 90.00 120.00
Closest atoms and distances in Å follow each position.
Space group P3m1 (No. 156)
Inequivalent atoms, fractional coordinates:
Sr1 0.0000 0.0000 0.0000 x1  3 Sn 3.44, 3 Nd 3.62
Nd1 0.6667 0.3333 0.4499 x1  3 Sn 3.19
Sn1 0.3333 0.6667 0.6401 x1  3 Nd 3.19, 3 Sr 3.44

Computed properties:
* calculated volume: 34.8 Å³ per atom
* DFT total energy: -11.4 eV per cell
* total moment: 0.0006 μB/atom
* DOS at the Fermi energy: 3.859 states/eV/f.u.